No. 1
An optimized crystal structure of HoZn5Au6. Source: Alexandria, functional PBE. Values from VASP.

Output
Electronic total energy ... -34.5 eV/cell
D(E_F) ... 2.49 states/eV per cell

```
&SYSTEM
  ibrav = 0, nat = 12, ntyp = 3
/
ATOMIC_SPECIES
Au 196.97 Au.upf
Ho 164.93 Ho.upf
Zn 65.41 Zn.upf
CELL_PARAMETERS angstrom
4.623 0.000 0.014
2.312 6.912 0.007
-0.019 0.000 6.567
ATOMIC_POSITIONS angstrom
Au 2.298 4.466 4.884
Ho 0.000 0.000 0.000
Zn 4.614 4.679 3.297
Au 4.618 2.446 1.703
Au 2.306 0.000 1.791
Zn 2.302 2.233 3.290
Zn 2.312 2.232 0.007
Zn 4.623 4.680 0.014
Zn -0.010 0.000 3.283
Au 2.298 0.000 4.790
Au 2.307 4.466 1.697
Au 4.609 2.446 4.890
```



No. 2
An optimized crystal structure of Ho2Zn3Au. Source: Alexandria, functional PBE. Values from VASP.

Output
Electronic total energy ... -38.8 eV/cell
D(E_F) ... 7.90 states/eV per cell

```
&SYSTEM
  ibrav = 0, nat = 12, ntyp = 3
/
ATOMIC_SPECIES
Ho 164.93 Ho.upf
Zn 65.41 Zn.upf
Au 196.97 Au.upf
CELL_PARAMETERS angstrom
5.636 -0.621 0.000
-0.839 5.608 0.000
-2.398 -2.493 7.840
ATOMIC_POSITIONS angstrom
Ho 3.573 3.715 0.000
Zn 0.000 0.000 2.558
Zn 2.398 2.493 5.282
Zn 4.048 0.907 1.277
Au 0.000 0.000 5.215
Ho 2.818 -0.310 3.920
Zn 1.649 -1.587 6.563
Au 2.398 2.493 2.625
Zn 0.749 4.080 1.277
Zn -1.649 1.587 6.563
Ho 1.224 1.272 0.000
Ho -0.420 2.804 3.920
```



No. 3
An optimized crystal structure of Ho2ZnAu3. Source: Alexandria, functional PBE. Values from VASP.

Output
Electronic total energy ... -49.2 eV/cell
D(E_F) ... 7.63 states/eV per cell

```
&SYSTEM
  ibrav = 0, nat = 12, ntyp = 3
/
ATOMIC_SPECIES
Au 196.97 Au.upf
Zn 65.41 Zn.upf
Ho 164.93 Ho.upf
CELL_PARAMETERS angstrom
5.705 -0.804 0.000
-1.025 5.669 0.000
-2.340 -2.432 8.019
ATOMIC_POSITIONS angstrom
Au 1.611 -1.549 6.629
Zn 2.340 2.432 2.682
Zn 0.000 0.000 5.338
Ho 1.156 1.202 0.000
Ho 2.852 -0.402 4.010
Ho 3.523 3.662 0.000
Ho -0.513 2.835 4.010
Au 3.951 0.883 1.391
Au 0.000 0.000 2.748
Au 0.729 3.982 1.391
Au 2.340 2.432 5.272
Au -1.611 1.549 6.629
```



No. 4
An optimized crystal structure of HoZn2Au10. Source: Alexandria, functional PBE. Values from VASP.

Output
Electronic total energy ... -43.1 eV/cell
D(E_F) ... 4.30 states/eV per cell

```
&SYSTEM
  ibrav = 0, nat = 13, ntyp = 3
/
ATOMIC_SPECIES
Au 196.97 Au.upf
Zn 65.41 Zn.upf
Ho 164.93 Ho.upf
CELL_PARAMETERS angstrom
5.534 0.000 0.000
2.767 6.580 0.000
2.767 0.000 6.742
ATOMIC_POSITIONS angstrom
Au 8.300 2.265 4.605
Zn 4.150 3.290 0.000
Ho 0.000 0.000 0.000
Au 5.534 2.265 2.137
Au 2.767 4.316 2.137
Au 4.150 0.000 3.371
Au 5.534 5.125 1.396
Au 2.767 1.455 1.396
Zn 1.383 3.290 0.000
Au 8.300 5.125 5.346
Au 5.534 4.316 4.605
Au 1.383 0.000 3.371
Au 5.534 1.455 5.346
```



No. 5
An optimized crystal structure of Ho2Zn15Au2. Source: Alexandria, functional PBE. Values from VASP.

Output
Electronic total energy ... -40.0 eV/cell
D(E_F) ... 5.80 states/eV per cell

```
&SYSTEM
  ibrav = 0, nat = 19, ntyp = 3
/
ATOMIC_SPECIES
Zn 65.41 Zn.upf
Au 196.97 Au.upf
Ho 164.93 Ho.upf
CELL_PARAMETERS angstrom
-3.390 -2.775 5.234
4.454 -4.997 1.337
3.385 3.199 4.990
ATOMIC_POSITIONS angstrom
Zn 4.507 -1.618 4.947
Zn 3.205 -0.078 6.497
Zn -1.057 -3.436 4.075
Au 3.953 -4.064 10.274
Zn 1.692 1.599 2.495
Zn 1.243 -4.495 5.065
Zn 3.703 0.761 3.904
Zn -1.695 -1.388 2.617
Zn -1.375 -0.999 5.161
Zn -0.058 -2.956 6.614
Zn 4.136 -2.559 2.424
Zn 1.370 1.422 5.063
Zn 2.227 -2.498 0.669
Ho 2.936 -3.019 7.632
Ho 1.512 -1.554 3.929
Zn 2.121 -4.336 2.496
Zn 3.720 -4.026 4.737
Au 0.495 -0.509 1.287
Zn 0.728 -0.548 6.824
```



No. 6
An optimized crystal structure of HoZn2Au. Source: Alexandria, functional PBE. Values from VASP.

Output
Electronic total energy ... -24.8 eV/cell
D(E_F) ... 4.67 states/eV per cell

```
&SYSTEM
  ibrav = 0, nat = 8, ntyp = 3
/
ATOMIC_SPECIES
Au 196.97 Au.upf
Ho 164.93 Ho.upf
Zn 65.41 Zn.upf
CELL_PARAMETERS angstrom
4.365 0.000 0.000
0.000 6.183 0.535
0.000 -0.498 5.748
ATOMIC_POSITIONS angstrom
Au 1.091 4.237 4.710
Ho 3.274 2.206 4.534
Zn 1.091 0.552 2.991
Ho 1.091 3.479 1.749
Zn 3.274 5.133 3.292
Au 3.274 1.448 1.573
Zn 3.274 5.374 0.513
Zn 1.091 0.311 5.770
```



Computed DFT formation energy, in the same sequence as the records: -31.0 -50.7 -70.1 -23.8 -26.3 -48.8 kJ per mole of atoms.